First-principles (GGA-PBE) data for an optimized crystal structure of Pr2EuBe, as listed in the Alexandria database.

Cell and atoms, written as CIF:
```
data_Pr2EuBe
_cell_length_a 3.5456
_cell_length_b 3.5456
_cell_length_c 36.3949
_cell_angle_alpha 90.00
_cell_angle_beta 90.00
_cell_angle_gamma 120.00
_space_group_name_H-M_alt 'R -3 m'
_space_group_IT_number 166
_space_group_name_Hall '-R 3 2"'
loop_
_atom_site_label
_atom_site_type_symbol
_atom_site_fract_x
_atom_site_fract_y
_atom_site_fract_z
Pr1 Pr 0.0000 0.0000 0.0814
Eu1 Eu 0.0000 0.0000 0.5000
Be1 Be 0.0000 0.0000 0.0000
```

* electronic total energy: -5.130 eV/atom
* formation enthalpy at 0 K: 0.760 eV/atom